Record 1
A plane-wave DFT calculation with PBE was carried out for a relaxed structure of ReBi2H.

Distance to the lowest polymorph of the same formula, meV/atom: 0
Volume, A^3/atom: 19.17
SG: Fm-3m
Crystal system: cubic
DOS at the Fermi energy, states/eV/f.u.: 3.49

Cell lengths 4.7688, 4.7688, 4.7688 Å; angles 60.00, 60.00, 60.00 degrees
Atoms (fractional coordinates):
H: 0.0000 0.0000 0.0000
Bi: 0.2500 0.2500 0.2500
Re: 0.5000 0.5000 0.5000
Bi: 0.7500 0.7500 0.7500

Record 2
A plane-wave DFT calculation with PBE was carried out for a relaxed structure of ReBi2H.

Distance to the lowest polymorph of the same formula, meV/atom: 32
Volume, A^3/atom: 19.90
SG: I-42d
Crystal system: tetragonal
DOS at the Fermi energy, states/eV/f.u.: 3.20

Cell lengths 6.6594, 6.6594, 5.9212 Å; angles 55.78, 55.78, 90.00 degrees
Atoms (fractional coordinates):
Bi: 0.5642 0.1250 0.2500
Re: 0.0000 0.0000 0.0000
Bi: 0.3750 0.4358 0.7500
H: 0.2500 0.7500 0.5000
Bi: 0.8750 0.8142 0.7500
Bi: 0.1858 0.6250 0.2500
H: 0.5000 0.5000 0.0000
Re: 0.7500 0.2500 0.5000

Number 1: size of the total moment 0.00 μB/f.u.. Number 2: size of the total moment 0.92 μB/f.u..